The following is a DFT calculation (GGA-PBE) of a geometry-optimized Tb8SmSb6 structure.

## Properties
Magnetic moment in μB per formula unit: 0.00
N(E_F) in states/eV per atom: 0.918
Mass density in g/cm3: 7.637
Total DFT energy (no corrections) in Ha/atom: -0.1916
Crystal system: trigonal

abc: 8.0653 8.0653 24.9226
angles: 90.00 90.00 120.00
Space group R-3 (No. 148, hexagonal axes)
Inequivalent atoms, fractional coordinates:
Tb 0.0000 0.0000 0.1666 x6
Tb 0.0011 0.6701 0.6219 x18
Sm 0.0000 0.0000 0.5000 x3
Sb 0.0007 0.6636 0.4319 x18